# CoNi2Se4

A geometry-optimized CoNi2Se4 structure (PBE-GGA, Alexandria).

The structure belongs to space group Cm (No. 8); the cell edges are 12.0289, 3.6345 and 6.1788 Å and the angles 90.00°, 119.97° and 90.00°. The asymmetric unit holds Co at (0.0000, 0.0000, 0.0000), Ni at (0.0186, 0.5000, 0.5572), Ni at (0.2613, 0.0000, 0.2760), Se at (0.1229, 0.5000, 0.2991), Se at (0.1352, 0.0000, 0.8241), Se at (0.3820, 0.0000, 0.7446) and Se at (0.3949, 0.5000, 0.2527).

As for the total magnetization: 0.00 μB/f.u. As for the energy: -4.94 eV per atom. The value obtained for the uncorrected formation energy is -0.28 eV per atom.

# CoNi2Se4

A geometry-optimized CoNi2Se4 structure (PBE-GGA, Alexandria).

The structure belongs to space group P4_122 (No. 91); the cell edges are 7.0384, 7.0384 and 9.9340 Å and the angles 90.00°, 90.00° and 90.00°. The asymmetric unit holds Co at (0.0000, 0.2496, 0.0000), Ni at (0.2491, 0.5000, 0.7500), Ni at (0.2506, 0.2506, 0.3750), Se at (0.0179, 0.2464, 0.7602) and Se at (0.2463, 0.4800, 0.9918).

As for the total magnetization: 0.00 μB/f.u. As for the energy: -4.98 eV per atom. The value obtained for the uncorrected formation energy is -0.32 eV per atom.

# CoNiSe2

A geometry-optimized CoNiSe2 structure (PBE-GGA, Alexandria).

The structure belongs to space group I-4m2 (No. 119); the cell edges are 3.5467, 3.5467 and 9.4379 Å and the angles 90.00°, 90.00° and 90.00°. The asymmetric unit holds Co at (0.0000, 0.0000, 0.0000), Ni at (0.0000, 0.5000, 0.7500), Se at (0.0000, 0.0000, 0.5000) and Se at (0.0000, 0.5000, 0.2500).

The offset from the most stable computed form comes out at 2.34 eV per formula unit. As for the total magnetization: 0.93 μB/f.u. As for the energy: -4.63 eV per atom. The value obtained for the uncorrected formation energy is 0.33 eV per atom.